VASP calculation (PBE-GGA) on an optimized crystal structure of AlReRu2.

Geometry as CIF:
```
data_AlReRu2
_symmetry_space_group_name_H-M 'P 1'
_symmetry_Int_Tables_number 1
_cell_length_a 2.825
_cell_length_b 3.572
_cell_length_c 5.644
_cell_angle_alpha 90.00
_cell_angle_beta 90.00
_cell_angle_gamma 90.00
loop_
_symmetry_equiv_pos_as_xyz
'x,y,z'
loop_
_atom_site_label
_atom_site_type_symbol
_atom_site_fract_x
_atom_site_fract_y
_atom_site_fract_z
Al1 Al 0.500 0.500 0.250
Ru1 Ru 0.000 0.000 0.499
Ru2 Ru 0.000 0.000 0.001
Re1 Re 0.500 0.500 0.750
```

Computed properties:
E_form (meV/atom): -184
Total moment (Bohr magnetons per cell): 0.00
N(E_F) (states/eV/atom): 0.776
Total DFT energy (no corrections) (eV per cell): -35.5

***

VASP calculation (PBE-GGA) on an optimized crystal structure of Rb2BaSeBr6.

Geometry as CIF:
```
data_Rb2BaSeBr6
_symmetry_space_group_name_H-M 'P 1'
_symmetry_Int_Tables_number 1
_cell_length_a 8.835
_cell_length_b 8.835
_cell_length_c 8.458
_cell_angle_alpha 58.52
_cell_angle_beta 58.52
_cell_angle_gamma 90.00
loop_
_symmetry_equiv_pos_as_xyz
'x,y,z'
loop_
_atom_site_label
_atom_site_type_symbol
_atom_site_fract_x
_atom_site_fract_y
_atom_site_fract_z
Br1 Br 0.278 0.278 0.444
Rb1 Rb 0.250 0.750 0.500
Rb2 Rb 0.750 0.250 0.500
Se1 Se 0.500 0.500 0.000
Br2 Br 0.749 0.749 0.000
Br3 Br 0.722 0.722 0.556
Br4 Br 0.251 0.251 0.000
Br5 Br 0.749 0.251 0.000
Br6 Br 0.251 0.749 0.000
Ba1 Ba 0.000 0.000 0.000
```

Computed properties:
Raw formation energy (eV/atom): -1.18
Total moment (Bohr magnetons per cell): 2.00
N(E_F) (states/eV/atom): 0.000
Total DFT energy (no corrections) (eV per cell): -29.2

***

VASP calculation (PBE-GGA) on an optimized crystal structure of GeAs2PtBr.

Geometry as CIF:
```
data_GeAs2PtBr
_symmetry_space_group_name_H-M 'P 1'
_symmetry_Int_Tables_number 1
_cell_length_a 4.965
_cell_length_b 4.965
_cell_length_c 4.882
_cell_angle_alpha 90.00
_cell_angle_beta 90.00
_cell_angle_gamma 90.00
loop_
_symmetry_equiv_pos_as_xyz
'x,y,z'
loop_
_atom_site_label
_atom_site_type_symbol
_atom_site_fract_x
_atom_site_fract_y
_atom_site_fract_z
As1 As 0.500 0.000 0.000
Ge1 Ge 0.000 0.000 0.000
As2 As 0.000 0.500 0.000
Pt1 Pt 0.500 0.500 0.500
Br1 Br 0.000 0.000 0.500
```

Computed properties:
Polymorph energy (0 for the lowest one) (kcal/mol of atoms): 10.11
Raw formation energy (eV/atom): 1.01
Total moment (Bohr magnetons per cell): 0.00
N(E_F) (states/eV/atom): 0.745
Total DFT energy (no corrections) (eV per cell): -16.6

***

VASP calculation (PBE-GGA) on an optimized crystal structure of K3Cu5H12.

Geometry as CIF:
```
data_K3Cu5H12
_symmetry_space_group_name_H-M 'P 1'
_symmetry_Int_Tables_number 1
_cell_length_a 10.469
_cell_length_b 10.469
_cell_length_c 10.469
_cell_angle_alpha 109.47
_cell_angle_beta 109.47
_cell_angle_gamma 109.47
loop_
_symmetry_equiv_pos_as_xyz
'x,y,z'
loop_
_atom_site_label
_atom_site_type_symbol
_atom_site_fract_x
_atom_site_fract_y
_atom_site_fract_z
Cu1 Cu 0.750 0.125 0.875
H1 H 0.088 0.425 0.105
Cu2 Cu 0.000 0.000 0.500
Cu3 Cu 0.875 0.250 0.625
K1 K 0.125 0.250 0.875
H2 H 0.017 0.412 0.337
Cu4 Cu 0.625 0.750 0.875
H3 H 0.483 0.163 0.088
K2 K 0.250 0.125 0.375
H4 H 0.163 0.680 0.075
H5 H 0.925 0.820 0.837
H6 H 0.912 0.337 0.517
H7 H 0.912 0.575 0.895
H8 H 0.412 0.395 0.075
Cu5 Cu 0.750 0.625 0.375
Cu6 Cu 0.375 0.125 0.750
H9 H 0.425 0.337 0.320
H10 H 0.588 0.983 0.163
H11 H 0.337 0.912 0.017
H12 H 0.412 0.017 0.837
Cu7 Cu 0.000 0.500 0.500
Cu8 Cu 0.875 0.625 0.750
Cu9 Cu 0.125 0.750 0.375
H13 H 0.837 0.517 0.412
Cu10 Cu 0.500 0.000 0.500
H14 H 0.680 0.163 0.575
H15 H 0.517 0.837 0.912
Cu11 Cu 0.500 0.500 0.500
H16 H 0.680 0.517 0.605
H17 H 0.395 0.983 0.320
H18 H 0.925 0.105 0.588
K3 K 0.375 0.625 0.250
H19 H 0.180 0.105 0.017
K4 K 0.625 0.375 0.750
H20 H 0.837 0.320 0.925
K5 K 0.250 0.625 0.875
H21 H 0.320 0.837 0.425
H22 H 0.395 0.412 0.575
Cu12 Cu 0.000 0.500 0.000
Cu13 Cu 0.500 0.500 0.000
H23 H 0.663 0.575 0.180
H24 H 0.663 0.088 0.983
H25 H 0.105 0.180 0.517
K6 K 0.875 0.125 0.250
H26 H 0.017 0.605 0.180
Cu14 Cu 0.125 0.375 0.250
K7 K 0.125 0.875 0.750
H27 H 0.820 0.895 0.983
H28 H 0.575 0.912 0.395
H29 H 0.075 0.895 0.412
H30 H 0.605 0.588 0.425
K8 K 0.750 0.875 0.625
H31 H 0.517 0.680 0.105
Cu15 Cu 0.000 0.000 0.000
H32 H 0.983 0.588 0.663
H33 H 0.575 0.663 0.680
H34 H 0.425 0.088 0.605
H35 H 0.163 0.483 0.588
H36 H 0.605 0.017 0.680
H37 H 0.105 0.925 0.088
H38 H 0.895 0.820 0.483
Cu16 Cu 0.375 0.250 0.125
Cu17 Cu 0.500 0.000 0.000
H39 H 0.088 0.663 0.483
H40 H 0.983 0.395 0.820
K9 K 0.625 0.250 0.375
H41 H 0.320 0.483 0.395
H42 H 0.180 0.075 0.663
H43 H 0.820 0.925 0.337
H44 H 0.588 0.605 0.925
Cu18 Cu 0.250 0.875 0.125
K10 K 0.750 0.375 0.125
H45 H 0.483 0.320 0.895
H46 H 0.075 0.180 0.163
H47 H 0.895 0.075 0.912
K11 K 0.375 0.750 0.625
K12 K 0.875 0.750 0.125
Cu19 Cu 0.625 0.875 0.250
Cu20 Cu 0.250 0.375 0.625
H48 H 0.337 0.425 0.820
```

Computed properties:
Total moment (Bohr magnetons per cell): 0.00
N(E_F) (states/eV/atom): 0.101
Total DFT energy (no corrections) (eV per cell): -242.0

***

VASP calculation (PBE-GGA) on an optimized crystal structure of As3HW.

Geometry as CIF:
```
data_As3HW
_symmetry_space_group_name_H-M 'P 1'
_symmetry_Int_Tables_number 1
_cell_length_a 4.892
_cell_length_b 4.892
_cell_length_c 4.892
_cell_angle_alpha 90.00
_cell_angle_beta 90.00
_cell_angle_gamma 90.00
loop_
_symmetry_equiv_pos_as_xyz
'x,y,z'
loop_
_atom_site_label
_atom_site_type_symbol
_atom_site_fract_x
_atom_site_fract_y
_atom_site_fract_z
As1 As 0.000 0.000 0.500
H1 H 0.500 0.500 0.500
W1 W 0.000 0.000 0.000
As2 As 0.000 0.500 0.000
As3 As 0.500 0.000 0.000
```

Computed properties:
Polymorph energy (0 for the lowest one) (kcal/mol of atoms): 0.00
Total moment (Bohr magnetons per cell): 0.86
N(E_F) (states/eV/atom): 0.560
Total DFT energy (no corrections) (eV per cell): -25.9

***

VASP calculation (PBE-GGA) on an optimized crystal structure of Sc4SnPt2.

Geometry as CIF:
```
data_Sc4SnPt2
_symmetry_space_group_name_H-M 'P 1'
_symmetry_Int_Tables_number 1
_cell_length_a 4.780
_cell_length_b 4.780
_cell_length_c 14.451
_cell_angle_alpha 90.00
_cell_angle_beta 90.00
_cell_angle_gamma 120.01
loop_
_symmetry_equiv_pos_as_xyz
'x,y,z'
loop_
_atom_site_label
_atom_site_type_symbol
_atom_site_fract_x
_atom_site_fract_y
_atom_site_fract_z
Sc1 Sc 0.833 0.167 0.128
Sn1 Sn 0.501 0.499 0.750
Sc2 Sc 0.166 0.834 0.250
Sc3 Sc 0.834 0.166 0.750
Pt1 Pt 0.167 0.833 0.059
Pt2 Pt 0.833 0.167 0.559
Sc4 Sc 0.833 0.167 0.372
Pt3 Pt 0.167 0.833 0.441
Sc5 Sc 0.500 0.500 0.000
Pt4 Pt 0.833 0.167 0.941
Sc6 Sc 0.500 0.500 0.500
Sc7 Sc 0.167 0.833 0.872
Sc8 Sc 0.167 0.833 0.628
Sn2 Sn 0.499 0.501 0.250
```

Computed properties:
Polymorph energy (0 for the lowest one) (kcal/mol of atoms): 0.00
E_form (meV/atom): -922
Total moment (Bohr magnetons per cell): 0.00
N(E_F) (states/eV/atom): 0.476
Total DFT energy (no corrections) (eV per cell): -95.7

***

VASP calculation (PBE-GGA) on an optimized crystal structure of TcPt6Rh2.

Geometry as CIF:
```
data_TcPt6Rh2
_symmetry_space_group_name_H-M 'P 1'
_symmetry_Int_Tables_number 1
_cell_length_a 2.793
_cell_length_b 7.329
_cell_length_c 8.317
_cell_angle_alpha 124.41
_cell_angle_beta 90.00
_cell_angle_gamma 100.98
loop_
_symmetry_equiv_pos_as_xyz
'x,y,z'
loop_
_atom_site_label
_atom_site_type_symbol
_atom_site_fract_x
_atom_site_fract_y
_atom_site_fract_z
Pt1 Pt 0.336 0.673 0.497
Rh1 Rh 0.662 0.324 0.824
Tc1 Tc 0.000 0.000 0.500
Rh2 Rh 0.338 0.676 0.176
Pt2 Pt 0.001 0.003 0.829
Pt3 Pt 0.332 0.664 0.836
Pt4 Pt 0.999 0.997 0.171
Pt5 Pt 0.668 0.336 0.164
Pt6 Pt 0.664 0.327 0.503
```

Computed properties:
E_form (meV/atom): -72
Total moment (Bohr magnetons per cell): 0.00
N(E_F) (states/eV/atom): 1.504
Total DFT energy (no corrections) (eV per cell): -62.0

***

VASP calculation (PBE-GGA) on an optimized crystal structure of NbMo.

Geometry as CIF:
```
data_NbMo
_symmetry_space_group_name_H-M 'P 1'
_symmetry_Int_Tables_number 1
_cell_length_a 7.890
_cell_length_b 7.890
_cell_length_c 4.677
_cell_angle_alpha 90.00
_cell_angle_beta 90.00
_cell_angle_gamma 90.00
loop_
_symmetry_equiv_pos_as_xyz
'x,y,z'
loop_
_atom_site_label
_atom_site_type_symbol
_atom_site_fract_x
_atom_site_fract_y
_atom_site_fract_z
Mo1 Mo 0.162 0.838 0.500
Mo2 Mo 0.838 0.838 0.500
Nb1 Nb 0.307 0.000 0.000
Nb2 Nb 0.500 0.807 0.500
Nb3 Nb 0.807 0.500 0.500
Mo3 Mo 0.662 0.662 0.000
Mo4 Mo 0.338 0.338 0.000
Mo5 Mo 0.162 0.162 0.500
Nb4 Nb 0.193 0.500 0.500
Nb5 Nb 0.693 0.000 0.000
Mo6 Mo 0.838 0.162 0.500
Nb6 Nb 0.000 0.307 0.000
Nb7 Nb 0.000 0.693 0.000
Mo7 Mo 0.662 0.338 0.000
Nb8 Nb 0.500 0.193 0.500
Mo8 Mo 0.338 0.662 0.000
```

Computed properties:
E_form (meV/atom): 323
Total moment (Bohr magnetons per cell): 0.00
N(E_F) (states/eV/atom): 0.789
Total DFT energy (no corrections) (eV per cell): -162.0

***

VASP calculation (PBE-GGA) on an optimized crystal structure of Mo2RhSe.

Geometry as CIF:
```
data_Mo2RhSe
_symmetry_space_group_name_H-M 'P 1'
_symmetry_Int_Tables_number 1
_cell_length_a 2.975
_cell_length_b 2.975
_cell_length_c 7.149
_cell_angle_alpha 90.00
_cell_angle_beta 90.00
_cell_angle_gamma 90.00
loop_
_symmetry_equiv_pos_as_xyz
'x,y,z'
loop_
_atom_site_label
_atom_site_type_symbol
_atom_site_fract_x
_atom_site_fract_y
_atom_site_fract_z
Rh1 Rh 0.000 0.000 0.494
Mo1 Mo 0.000 0.000 0.983
Se1 Se 0.500 0.500 0.768
Mo2 Mo 0.500 0.500 0.256
```

Computed properties:
Raw formation energy (eV/atom): 0.06
Total moment (Bohr magnetons per cell): 0.00
N(E_F) (states/eV/atom): 0.947
Total DFT energy (no corrections) (eV per cell): -32.2

***

VASP calculation (PBE-GGA) on an optimized crystal structure of Tc3Hg.

Geometry as CIF:
```
data_Tc3Hg
_symmetry_space_group_name_H-M 'P 1'
_symmetry_Int_Tables_number 1
_cell_length_a 2.822
_cell_length_b 9.462
_cell_length_c 2.822
_cell_angle_alpha 81.42
_cell_angle_beta 120.00
_cell_angle_gamma 98.58
loop_
_symmetry_equiv_pos_as_xyz
'x,y,z'
loop_
_atom_site_label
_atom_site_type_symbol
_atom_site_fract_x
_atom_site_fract_y
_atom_site_fract_z
Hg1 Hg 0.000 0.000 0.000
Tc1 Tc 0.243 0.728 0.757
Tc2 Tc 0.757 0.272 0.243
Tc3 Tc 0.500 0.500 0.500
```

Computed properties:
Polymorph energy (0 for the lowest one) (kcal/mol of atoms): 0.47
E_form (meV/atom): 317
Total moment (Bohr magnetons per cell): 0.00
N(E_F) (states/eV/atom): 1.056
Total DFT energy (no corrections) (eV per cell): -30.1

***

What is the formula in the fourth record?
K3Cu5H12